Density functional theory data (PBE with a Hubbard U) for a geometry-optimized HoAlV2O8 structure.

Computed properties:
- DFT total energy: -7.563 eV per atom
- Spin magnetization: 0.000 Bohr magnetons per cell
- Crystal system: tetragonal
- Calculated volume: 12.10 A^3/atom
- Fermi-level density of states: 0.0 states/eV per cell

Unit cell a=6.8018 b=6.8018 c=6.2754 alpha=90.00 beta=90.00 gamma=90.00
With the nearest neighbours (Å) after each atom.
Space group I-4m2 (No. 119)
Symmetry-distinct sites (fractional):
Ho1 0.0000 0.0000 0.0000 (multiplicity 2)  4 O 2.17
Al1 0.0000 0.5000 0.2500 (multiplicity 2)  4 O 2.06
V1 0.0000 0.0000 0.5000 (multiplicity 2)  4 O 1.76
V2 0.0000 0.5000 0.7500 (multiplicity 2)  4 O 1.72
O1 0.0000 0.2059 0.3291 (multiplicity 8)  1 V 1.76
O2 0.0000 0.3134 0.9350 (multiplicity 8)  1 V 1.72